1.
# Nd6P2Se3Cl, relaxed, DFT PBE
# E = -145.0 eV/cell
data_Nd6P2Se3Cl
_chemical_formula_sum 'Nd12 P4 Se6 Cl2'
_space_group_name_H-M_alt 'C 1 2/m 1'
_space_group_IT_number 12
_cell_length_a 18.280
_cell_length_b 4.182
_cell_length_c 8.446
_cell_angle_alpha 90.00
_cell_angle_beta 102.97
_cell_angle_gamma 90.00
loop_
_space_group_symop_operation_xyz
'x,y,z'
'-x,-y,-z'
'-x,y,-z'
'x,-y,z'
'x+1/2,y+1/2,z'
'-x+1/2,-y+1/2,-z'
'-x+1/2,y+1/2,-z'
'x+1/2,-y+1/2,z'
loop_
_atom_site_label
_atom_site_type_symbol
_atom_site_fract_x
_atom_site_fract_y
_atom_site_fract_z
Nd1 Nd 0.008 0.000 0.267
Nd2 Nd 0.172 0.500 0.573
Nd3 Nd 0.174 0.500 0.106
P1 P 0.167 0.000 0.334
Se1 Se 0.000 0.500 0.500
Se2 Se 0.161 0.000 0.836
Cl1 Cl 0.000 0.500 0.000



2.
# Nd4PSe2Cl, relaxed, DFT PBE
# E = -46.9 eV/cell
data_Nd4PSe2Cl
_chemical_formula_sum 'Nd4 P1 Se2 Cl1'
_space_group_name_H-M_alt 'P 1 2/m 1'
_space_group_IT_number 10
_cell_length_a 7.270
_cell_length_b 4.159
_cell_length_c 7.306
_cell_angle_alpha 90.00
_cell_angle_beta 108.89
_cell_angle_gamma 90.00
loop_
_space_group_symop_operation_xyz
'x,y,z'
'-x,-y,-z'
'-x,y,-z'
'x,-y,z'
loop_
_atom_site_label
_atom_site_type_symbol
_atom_site_fract_x
_atom_site_fract_y
_atom_site_fract_z
Nd1 Nd 0.235 0.000 0.227
Nd2 Nd 0.249 0.500 0.772
P1 P 0.000 0.500 0.000
Se1 Se 0.500 0.000 0.000
Se2 Se 0.500 0.500 0.500
Cl1 Cl 0.000 0.000 0.500



3.
# Nd4P2SeCl, relaxed, DFT PBE
# E = -48.9 eV/cell
data_Nd4P2SeCl
_chemical_formula_sum 'Nd4 P2 Se1 Cl1'
_space_group_name_H-M_alt 'P 1 2/m 1'
_space_group_IT_number 10
_cell_length_a 7.179
_cell_length_b 4.142
_cell_length_c 7.415
_cell_angle_alpha 90.00
_cell_angle_beta 108.82
_cell_angle_gamma 90.00
loop_
_space_group_symop_operation_xyz
'x,y,z'
'-x,-y,-z'
'-x,y,-z'
'x,-y,z'
loop_
_atom_site_label
_atom_site_type_symbol
_atom_site_fract_x
_atom_site_fract_y
_atom_site_fract_z
Nd1 Nd 0.233 0.000 0.219
Nd2 Nd 0.252 0.500 0.777
P1 P 0.000 0.500 0.000
P2 P 0.500 0.000 0.000
Se1 Se 0.000 0.000 0.500
Cl1 Cl 0.500 0.500 0.500



4.
# Nd4SiPCl2, relaxed, DFT PBE
# E = -44.8 eV/cell
data_Nd4SiPCl2
_chemical_formula_sum 'Nd4 Si1 P1 Cl2'
_space_group_name_H-M_alt 'P 1 2/m 1'
_space_group_IT_number 10
_cell_length_a 7.231
_cell_length_b 4.181
_cell_length_c 7.430
_cell_angle_alpha 90.00
_cell_angle_beta 108.99
_cell_angle_gamma 90.00
loop_
_space_group_symop_operation_xyz
'x,y,z'
'-x,-y,-z'
'-x,y,-z'
'x,-y,z'
loop_
_atom_site_label
_atom_site_type_symbol
_atom_site_fract_x
_atom_site_fract_y
_atom_site_fract_z
Nd1 Nd 0.236 0.000 0.216
Nd2 Nd 0.257 0.500 0.780
Si1 Si 0.500 0.000 0.000
P1 P 0.000 0.500 0.000
Cl1 Cl 0.000 0.000 0.500
Cl2 Cl 0.500 0.500 0.500



5.
# Nd6Si2PCl3, relaxed, DFT PBE
# E = -132.7 eV/cell
data_Nd6Si2PCl3
_chemical_formula_sum 'Nd12 Si4 P2 Cl6'
_space_group_name_H-M_alt 'C 1 2/m 1'
_space_group_IT_number 12
_cell_length_a 18.518
_cell_length_b 4.203
_cell_length_c 8.508
_cell_angle_alpha 90.00
_cell_angle_beta 104.34
_cell_angle_gamma 90.00
loop_
_space_group_symop_operation_xyz
'x,y,z'
'-x,-y,-z'
'-x,y,-z'
'x,-y,z'
'x+1/2,y+1/2,z'
'-x+1/2,-y+1/2,-z'
'-x+1/2,y+1/2,-z'
'x+1/2,-y+1/2,z'
loop_
_atom_site_label
_atom_site_type_symbol
_atom_site_fract_x
_atom_site_fract_y
_atom_site_fract_z
Nd1 Nd 0.006 0.000 0.229
Nd2 Nd 0.159 0.500 0.096
Nd3 Nd 0.172 0.500 0.568
Si1 Si 0.166 0.000 0.331
P1 P 0.000 0.500 0.000
Cl1 Cl 0.000 0.500 0.500
Cl2 Cl 0.168 0.000 0.834



6.
# NdSmPCl, relaxed, DFT PBE
# E = -69.2 eV/cell
data_NdSmPCl
_chemical_formula_sum 'Nd3 Sm3 P3 Cl3'
_space_group_name_H-M_alt 'R 3 m'
_space_group_IT_number 160
_space_group_name_Hall 'R 3 -2"'
_cell_length_a 4.0348
_cell_length_b 4.0348
_cell_length_c 21.6728
_cell_angle_alpha 90.00
_cell_angle_beta 90.00
_cell_angle_gamma 120.00
loop_
_atom_site_label
_atom_site_type_symbol
_atom_site_fract_x
_atom_site_fract_y
_atom_site_fract_z
Nd1 Nd 0.0000 0.0000 0.0000
Sm1 Sm 0.0000 0.0000 0.1921
P1 P 0.0000 0.0000 0.5932
Cl1 Cl 0.0000 0.0000 0.7655



7.
# SrNdPCl, relaxed, DFT PBE
# E = -59.7 eV/cell
data_SrNdPCl
_chemical_formula_sum 'Sr3 Nd3 P3 Cl3'
_space_group_name_H-M_alt 'R 3 m'
_space_group_IT_number 160
_space_group_name_Hall 'R 3 -2"'
_cell_length_a 4.1768
_cell_length_b 4.1768
_cell_length_c 22.3776
_cell_angle_alpha 90.00
_cell_angle_beta 90.00
_cell_angle_gamma 120.00
loop_
_atom_site_label
_atom_site_type_symbol
_atom_site_fract_x
_atom_site_fract_y
_atom_site_fract_z
Sr1 Sr 0.0000 0.0000 0.0000
Nd1 Nd 0.0000 0.0000 0.8083
P1 P 0.0000 0.0000 0.4089
Cl1 Cl 0.0000 0.0000 0.2325



8.
# TbNdPCl, relaxed, DFT PBE
# E = -68.8 eV/cell
data_TbNdPCl
_chemical_formula_sum 'Tb3 Nd3 P3 Cl3'
_space_group_name_H-M_alt 'R 3 m'
_space_group_IT_number 160
_space_group_name_Hall 'R 3 -2"'
_cell_length_a 4.0050
_cell_length_b 4.0050
_cell_length_c 21.3895
_cell_angle_alpha 90.00
_cell_angle_beta 90.00
_cell_angle_gamma 120.00
loop_
_atom_site_label
_atom_site_type_symbol
_atom_site_fract_x
_atom_site_fract_y
_atom_site_fract_z
Tb1 Tb 0.0000 0.0000 0.0000
Nd1 Nd 0.0000 0.0000 0.1923
P1 P 0.0000 0.0000 0.6014
Cl1 Cl 0.0000 0.0000 0.4251



9.
# Nd6Te3P2Cl, relaxed, DFT PBE
# E = -137.9 eV/cell
data_Nd6Te3P2Cl
_chemical_formula_sum 'Nd12 Te6 P4 Cl2'
_space_group_name_H-M_alt 'C 1 2/m 1'
_space_group_IT_number 12
_cell_length_a 19.012
_cell_length_b 4.261
_cell_length_c 8.797
_cell_angle_alpha 90.00
_cell_angle_beta 104.69
_cell_angle_gamma 90.00
loop_
_space_group_symop_operation_xyz
'x,y,z'
'-x,-y,-z'
'-x,y,-z'
'x,-y,z'
'x+1/2,y+1/2,z'
'-x+1/2,-y+1/2,-z'
'-x+1/2,y+1/2,-z'
'x+1/2,-y+1/2,z'
loop_
_atom_site_label
_atom_site_type_symbol
_atom_site_fract_x
_atom_site_fract_y
_atom_site_fract_z
Nd1 Nd 0.015 0.000 0.247
Nd2 Nd 0.168 0.500 0.117
Nd3 Nd 0.176 0.500 0.562
Te1 Te 0.000 0.500 0.500
Te2 Te 0.162 0.000 0.834
P1 P 0.168 0.000 0.335
Cl1 Cl 0.000 0.500 0.000



10.
# Nd3TePCl, relaxed, DFT PBE
# E = -66.6 eV/cell
data_Nd3TePCl
_chemical_formula_sum 'Nd6 Te2 P2 Cl2'
_space_group_name_H-M_alt 'P 1 21/m 1'
_space_group_IT_number 11
_cell_length_a 8.874
_cell_length_b 4.197
_cell_length_c 9.827
_cell_angle_alpha 90.00
_cell_angle_beta 95.39
_cell_angle_gamma 90.00
loop_
_space_group_symop_operation_xyz
'x,y,z'
'-x,-y,-z'
'-x,y+1/2,-z'
'x,-y+1/2,z'
loop_
_atom_site_label
_atom_site_type_symbol
_atom_site_fract_x
_atom_site_fract_y
_atom_site_fract_z
Nd1 Nd 0.091 0.250 0.353
Nd2 Nd 0.168 0.250 0.937
Nd3 Nd 0.360 0.750 0.637
Te1 Te 0.361 0.750 0.311
P1 P 0.136 0.250 0.647
Cl1 Cl 0.376 0.750 0.926



11.
# Nd6TlP2Cl3, relaxed, DFT PBE
# E = -126.7 eV/cell
data_Nd6TlP2Cl3
_chemical_formula_sum 'Nd12 Tl2 P4 Cl6'
_space_group_name_H-M_alt 'C 1 2/m 1'
_space_group_IT_number 12
_cell_length_a 18.663
_cell_length_b 4.135
_cell_length_c 8.669
_cell_angle_alpha 90.00
_cell_angle_beta 102.69
_cell_angle_gamma 90.00
loop_
_space_group_symop_operation_xyz
'x,y,z'
'-x,-y,-z'
'-x,y,-z'
'x,-y,z'
'x+1/2,y+1/2,z'
'-x+1/2,-y+1/2,-z'
'-x+1/2,y+1/2,-z'
'x+1/2,-y+1/2,z'
loop_
_atom_site_label
_atom_site_type_symbol
_atom_site_fract_x
_atom_site_fract_y
_atom_site_fract_z
Nd1 Nd 0.013 0.000 0.270
Nd2 Nd 0.169 0.500 0.122
Nd3 Nd 0.175 0.500 0.571
Tl1 Tl 0.000 0.500 0.000
P1 P 0.169 0.000 0.344
Cl1 Cl 0.000 0.500 0.500
Cl2 Cl 0.168 0.000 0.839



12.
# Nd4ZnPCl2, relaxed, DFT PBE
# E = -39.0 eV/cell
data_Nd4ZnPCl2
_chemical_formula_sum 'Nd4 Zn1 P1 Cl2'
_space_group_name_H-M_alt 'P 1 2/m 1'
_space_group_IT_number 10
_cell_length_a 7.301
_cell_length_b 4.124
_cell_length_c 7.333
_cell_angle_alpha 90.00
_cell_angle_beta 108.82
_cell_angle_gamma 90.00
loop_
_space_group_symop_operation_xyz
'x,y,z'
'-x,-y,-z'
'-x,y,-z'
'x,-y,z'
loop_
_atom_site_label
_atom_site_type_symbol
_atom_site_fract_x
_atom_site_fract_y
_atom_site_fract_z
Nd1 Nd 0.234 0.000 0.226
Nd2 Nd 0.248 0.500 0.765
Zn1 Zn 0.500 0.000 0.000
P1 P 0.000 0.500 0.000
Cl1 Cl 0.000 0.000 0.500
Cl2 Cl 0.500 0.500 0.500



13.
# NdPaCl, relaxed, DFT PBE
# E = -37.2 eV/cell
data_NdPaCl
_chemical_formula_sum 'Nd2 Pa2 Cl2'
_space_group_name_H-M_alt 'P 4/n m m'
_space_group_IT_number 129
_cell_length_a 3.687
_cell_length_b 3.687
_cell_length_c 12.196
_cell_angle_alpha 90.00
_cell_angle_beta 90.00
_cell_angle_gamma 90.00
loop_
_space_group_symop_operation_xyz
'x,y,z'
'-x,-y,-z'
'-y+1/2,x,z'
'y+1/2,-x,-z'
'-x+1/2,-y+1/2,z'
'x+1/2,y+1/2,-z'
'y,-x+1/2,z'
'-y,x+1/2,-z'
'x+1/2,-y,-z'
'-x+1/2,y,z'
'-y,-x,-z'
'y,x,z'
'-x,y+1/2,-z'
'x,-y+1/2,z'
'y+1/2,x+1/2,-z'
'-y+1/2,-x+1/2,z'
loop_
_atom_site_label
_atom_site_type_symbol
_atom_site_fract_x
_atom_site_fract_y
_atom_site_fract_z
Nd1 Nd 0.250 0.250 0.243
Pa1 Pa 0.250 0.250 0.564
Cl1 Cl 0.250 0.250 0.874



14.
# NdPb2Cl8, relaxed, DFT PBE
# E = -83.7 eV/cell
data_NdPb2Cl8
_chemical_formula_sum 'Nd2 Pb4 Cl16'
_space_group_name_H-M_alt 'C 1 2/m 1'
_space_group_IT_number 12
_cell_length_a 12.677
_cell_length_b 9.133
_cell_length_c 7.053
_cell_angle_alpha 90.00
_cell_angle_beta 109.13
_cell_angle_gamma 90.00
loop_
_space_group_symop_operation_xyz
'x,y,z'
'-x,-y,-z'
'-x,y,-z'
'x,-y,z'
'x+1/2,y+1/2,z'
'-x+1/2,-y+1/2,-z'
'-x+1/2,y+1/2,-z'
'x+1/2,-y+1/2,z'
loop_
_atom_site_label
_atom_site_type_symbol
_atom_site_fract_x
_atom_site_fract_y
_atom_site_fract_z
Nd1 Nd 0.000 0.000 0.000
Pb1 Pb 0.156 0.500 0.216
Cl1 Cl 0.076 0.500 0.817
Cl2 Cl 0.118 0.000 0.735
Cl3 Cl 0.153 0.193 0.243



15.
# Nd2PbCl, relaxed, DFT PBE
# relative energy among the computed polymorphs = 111 meV/atom
# E = -55.7 eV/cell
data_Nd2PbCl
_chemical_formula_sum 'Nd6 Pb3 Cl3'
_space_group_name_H-M_alt 'R 3 m'
_space_group_IT_number 160
_space_group_name_Hall 'R 3 -2"'
_cell_length_a 4.3847
_cell_length_b 4.3847
_cell_length_c 22.7144
_cell_angle_alpha 90.00
_cell_angle_beta 90.00
_cell_angle_gamma 120.00
loop_
_atom_site_label
_atom_site_type_symbol
_atom_site_fract_x
_atom_site_fract_y
_atom_site_fract_z
Nd1 Nd 0.0000 0.0000 0.0000
Nd2 Nd 0.0000 0.0000 0.1747
Pb1 Pb 0.0000 0.0000 0.5881
Cl1 Cl 0.0000 0.0000 0.4168



16.
# Nd2PbCl2, relaxed, DFT PBE
# E = -72.3 eV/cell
data_Nd2PbCl2
_chemical_formula_sum 'Nd6 Pb3 Cl6'
_space_group_name_H-M_alt 'R -3 m'
_space_group_IT_number 166
_space_group_name_Hall '-R 3 2"'
_cell_length_a 4.3924
_cell_length_b 4.3924
_cell_length_c 30.5062
_cell_angle_alpha 90.00
_cell_angle_beta 90.00
_cell_angle_gamma 120.00
loop_
_atom_site_label
_atom_site_type_symbol
_atom_site_fract_x
_atom_site_fract_y
_atom_site_fract_z
Nd1 Nd 0.0000 0.0000 0.1050
Pb1 Pb 0.0000 0.0000 0.5000
Cl1 Cl 0.0000 0.0000 0.2771



17.
# Nd2PbCl, relaxed, DFT PBE
# relative energy among the computed polymorphs = 0 meV/atom
# E = -57.0 eV/cell
data_Nd2PbCl
_chemical_formula_sum 'Nd6 Pb3 Cl3'
_space_group_name_H-M_alt 'R -3 m'
_space_group_IT_number 166
_space_group_name_Hall '-R 3 2"'
_cell_length_a 4.5472
_cell_length_b 4.5472
_cell_length_c 19.8825
_cell_angle_alpha 90.00
_cell_angle_beta 90.00
_cell_angle_gamma 120.00
loop_
_atom_site_label
_atom_site_type_symbol
_atom_site_fract_x
_atom_site_fract_y
_atom_site_fract_z
Nd1 Nd 0.0000 0.0000 0.2459
Pb1 Pb 0.0000 0.0000 0.0000
Cl1 Cl 0.0000 0.0000 0.5000



18.
# RbNdPbCl6, relaxed, DFT PBE
# E = -74.6 eV/cell
data_RbNdPbCl6
_chemical_formula_sum 'Rb2 Nd2 Pb2 Cl12'
_space_group_name_H-M_alt 'P -3 1 c'
_space_group_IT_number 163
_space_group_name_Hall '-P 3 2c'
_cell_length_a 7.4798
_cell_length_b 7.4798
_cell_length_c 14.0438
_cell_angle_alpha 90.00
_cell_angle_beta 90.00
_cell_angle_gamma 120.00
loop_
_atom_site_label
_atom_site_type_symbol
_atom_site_fract_x
_atom_site_fract_y
_atom_site_fract_z
Rb1 Rb 0.0000 0.0000 0.0000
Nd1 Nd 0.3333 0.6667 0.2500
Pb1 Pb 0.3333 0.6667 0.7500
Cl1 Cl 0.0161 0.3777 0.1386



19.
# Nd3SbPbCl, relaxed, DFT PBE
# E = -59.6 eV/cell
data_Nd3SbPbCl
_chemical_formula_sum 'Nd6 Sb2 Pb2 Cl2'
_space_group_name_H-M_alt 'P 1 21/m 1'
_space_group_IT_number 11
_cell_length_a 8.919
_cell_length_b 4.562
_cell_length_c 9.868
_cell_angle_alpha 90.00
_cell_angle_beta 103.13
_cell_angle_gamma 90.00
loop_
_space_group_symop_operation_xyz
'x,y,z'
'-x,-y,-z'
'-x,y+1/2,-z'
'x,-y+1/2,z'
loop_
_atom_site_label
_atom_site_type_symbol
_atom_site_fract_x
_atom_site_fract_y
_atom_site_fract_z
Nd1 Nd 0.086 0.250 0.340
Nd2 Nd 0.254 0.250 0.001
Nd3 Nd 0.401 0.750 0.632
Sb1 Sb 0.160 0.250 0.664
Pb1 Pb 0.320 0.750 0.277
Cl1 Cl 0.404 0.750 0.919



20.
# NdTlPb2Cl8, relaxed, DFT PBE
# E = -47.3 eV/cell
data_NdTlPb2Cl8
_chemical_formula_sum 'Nd1 Tl1 Pb2 Cl8'
_space_group_name_H-M_alt 'P 1 2/m 1'
_space_group_IT_number 10
_cell_length_a 6.658
_cell_length_b 9.010
_cell_length_c 6.932
_cell_angle_alpha 90.00
_cell_angle_beta 90.67
_cell_angle_gamma 90.00
loop_
_space_group_symop_operation_xyz
'x,y,z'
'-x,-y,-z'
'-x,y,-z'
'x,-y,z'
loop_
_atom_site_label
_atom_site_type_symbol
_atom_site_fract_x
_atom_site_fract_y
_atom_site_fract_z
Nd1 Nd 0.000 0.000 0.000
Tl1 Tl 0.000 0.500 0.000
Pb1 Pb 0.500 0.253 0.500
Cl1 Cl 0.234 0.219 0.164
Cl2 Cl 0.252 0.000 0.682
Cl3 Cl 0.279 0.500 0.636